A relaxed structure of Tm5Tl2Pt. Source: Alexandria, functional PBE.

Properties
- D(E_F): 19.521 states/eV per cell
- Energy: -4.29 eV per atom

Cell lengths 5.4718, 8.5151, 12.3661 Å; angles 90.00, 90.00, 108.74 degrees
Fractional coordinates of all 16 atoms:
Tm  0.9212  0.8425  0.8984
Tm  0.9212  0.8425  0.6016
Tm  0.3018  0.6035  0.4365
Tm  0.3018  0.6035  0.0635
Tm  0.7090  0.4181  0.2500
Tm  0.2910  0.5819  0.7500
Tm  0.6982  0.3965  0.5635
Tm  0.6982  0.3965  0.9365
Tm  0.0788  0.1575  0.1016
Tm  0.0788  0.1575  0.3984
Tl  0.8860  0.7721  0.3692
Tl  0.8860  0.7721  0.1308
Tl  0.1140  0.2279  0.6308
Tl  0.1140  0.2279  0.8692
Pt  0.7979  0.5958  0.7500
Pt  0.2021  0.4042  0.2500

---

A relaxed structure of CuRu2Rh9. Source: Alexandria, functional PBE.

Properties
- D(E_F): 15.893 states/eV per cell
- Energy: -7.37 eV per atom

Cell lengths 3.8270, 3.8270, 11.5191 Å; angles 90.00, 90.00, 90.00 degrees
Fractional coordinates of all 12 atoms:
Cu  0.0000  0.0000  0.0000
Ru  0.0000  0.0000  0.3280
Ru  0.0000  0.0000  0.6720
Rh  0.5000  0.5000  0.0000
Rh  0.5000  0.5000  0.3354
Rh  0.5000  0.5000  0.6646
Rh  0.5000  0.0000  0.1675
Rh  0.5000  0.0000  0.5000
Rh  0.5000  0.0000  0.8325
Rh  0.0000  0.5000  0.1675
Rh  0.0000  0.5000  0.5000
Rh  0.0000  0.5000  0.8325

---

A relaxed structure of LiSnHgI3. Source: Alexandria, functional PBE.

Properties
- D(E_F): 0.000 states/eV per cell
- Formation energy (no corrections): -626 meV per atom
- Energy: -2.44 eV per atom

Cell lengths 4.5853, 10.7443, 11.5535 Å; angles 110.55, 90.00, 90.00 degrees
Fractional coordinates of all 12 atoms:
Li  0.2500  0.0721  0.6123
Li  0.7500  0.9279  0.3877
Sn  0.2500  0.6704  0.1361
Sn  0.7500  0.3296  0.8639
Hg  0.7500  0.7908  0.7371
Hg  0.2500  0.2092  0.2629
I  0.2500  0.8103  0.4421
I  0.7500  0.8749  0.1343
I  0.7500  0.4611  0.1530
I  0.7500  0.1897  0.5579
I  0.2500  0.5389  0.8470
I  0.2500  0.1251  0.8657

---

A relaxed structure of Mn3AlOs. Source: Alexandria, functional PBE.

Properties
- D(E_F): 6.575 states/eV per cell
- Energy: -6.90 eV per atom

Cell lengths 4.1050, 4.1050, 4.1050 Å; angles 90.00, 90.00, 90.00 degrees
Fractional coordinates of all 5 atoms:
Mn  0.0000  0.5000  0.0000
Mn  0.0000  0.0000  0.5000
Mn  0.5000  0.0000  0.0000
Os  0.5000  0.5000  0.5000
Al  0.0000  0.0000  0.0000

---

A relaxed structure of AcNiGe2Rh. Source: Alexandria, functional PBE.

Properties
- D(E_F): 5.103 states/eV per cell
- Energy: -5.99 eV per atom

Cell lengths 4.3260, 4.3260, 6.0671 Å; angles 110.89, 110.89, 90.00 degrees
Fractional coordinates of all 5 atoms:
Ac  0.0000  0.0000  0.0000
Ni  0.2500  0.7500  0.5000
Ge  0.6373  0.6373  0.2746
Ge  0.3627  0.3627  0.7254
Rh  0.7500  0.2500  0.5000

---

A relaxed structure of NpZnTcRh. Source: Alexandria, functional PBE.

Properties
- D(E_F): 6.417 states/eV per cell
- Energy: -8.13 eV per atom

Cell lengths 4.5460, 4.5460, 4.5460 Å; angles 60.00, 60.00, 60.00 degrees
Fractional coordinates of all 4 atoms:
Np  0.7500  0.7500  0.7500
Zn  0.2500  0.2500  0.2500
Rh  0.0000  0.0000  0.0000
Tc  0.5000  0.5000  0.5000